No. 1
# HfAl3V

Crystalline HfAl3V at its relaxed geometry (PBE, Alexandria).

**Offset from the most stable computed form**: 0.000 eV per atom
**Space group**: P6_3/mmc (194)

a b c (Å): 6.2126 6.2126 5.2859
angles (deg): 90.00 90.00 120.00
Element x y z (fractional)
Hf (0.3333, 0.6667, 0.2500)
Hf (0.6667, 0.3333, 0.7500)
Al (0.1953, 0.3906, 0.7500)
Al (0.1953, 0.8047, 0.7500)
Al (0.3906, 0.1953, 0.2500)
Al (0.6094, 0.8047, 0.7500)
Al (0.8047, 0.1953, 0.2500)
Al (0.8047, 0.6094, 0.2500)
V (0.0000, 0.0000, 0.0000)
V (0.0000, 0.0000, 0.5000)

---

No. 2
# Hf2AlV3

Crystalline Hf2AlV3 at its relaxed geometry (PBE, Alexandria).

**Space group**: C2/m (12)

a b c (Å): 8.8287 5.0868 5.3429
angles (deg): 90.00 123.40 90.00
Element x y z (fractional)
Hf (0.1240, 0.0000, 0.3712)
Hf (0.3760, 0.5000, 0.6288)
Hf (0.6240, 0.5000, 0.3712)
Hf (0.8760, 0.0000, 0.6288)
Al (0.0000, 0.5000, 0.5000)
Al (0.5000, 0.0000, 0.5000)
V (0.0000, 0.5000, 0.0000)
V (0.2500, 0.2500, 0.0000)
V (0.2500, 0.7500, 0.0000)
V (0.5000, 0.0000, 0.0000)
V (0.7500, 0.2500, 0.0000)
V (0.7500, 0.7500, 0.0000)

---

No. 3
# Hf3Al4V2

Crystalline Hf3Al4V2 at its relaxed geometry (PBE, Alexandria).

**Space group**: C2/m (12)

a b c (Å): 5.4669 5.4669 8.3032
angles (deg): 118.26 118.26 48.13
Element x y z (fractional)
Hf (0.0000, 0.0000, 0.0000)
Hf (0.3371, 0.3371, 0.3268)
Hf (0.6629, 0.6629, 0.6732)
Al (0.0558, 0.0558, 0.3835)
Al (0.2989, 0.2989, 0.9561)
Al (0.7011, 0.7011, 0.0439)
Al (0.9442, 0.9442, 0.6165)
V (0.3552, 0.3552, 0.6837)
V (0.6448, 0.6448, 0.3163)

---

No. 4
# HfAl4V

Crystalline HfAl4V at its relaxed geometry (PBE, Alexandria).

**Offset from the most stable computed form**: 0.111 eV per atom
**Space group**: P-1 (2)

a b c (Å): 4.9858 6.9703 7.2124
angles (deg): 61.24 87.75 70.26
Element x y z (fractional)
Hf (0.1844, 0.1525, 0.4349)
Hf (0.8156, 0.8475, 0.5651)
Al (0.0770, 0.3604, 0.7182)
Al (0.0881, 0.8899, 0.8874)
Al (0.3750, 0.7503, 0.3814)
Al (0.4716, 0.5433, 0.8042)
Al (0.5284, 0.4567, 0.1958)
Al (0.6250, 0.2497, 0.6186)
Al (0.9119, 0.1101, 0.1126)
Al (0.9230, 0.6397, 0.2818)
V (0.0000, 0.5000, 0.0000)
V (0.5000, 0.0000, 0.0000)

---

It is found that the D(E_F) values, taken in the order of the records, are 3.14 10.76 5.80 4.08 states/eV/f.u..
It is found that the ΔE_f values, taken in the order of the records, are 0.037 -0.114 -0.249 -0.100 eV/atom.